Crystalline Cs2KNaLi at its relaxed geometry, computed with PBE.

Cell lengths 7.9398, 7.9398, 6.0866 Å; angles 90.00, 90.00, 90.00 degrees
Space group P4/mmm (No. 123)
Symmetry-distinct sites (fractional):
Cs  0.0000  0.5000  0.0000
K  0.0000  0.0000  0.5000
Na  0.5000  0.5000  0.0000
Li  0.5000  0.5000  0.5000

Summary:
- DOS(E_F): 4.48 states/eV/cell
- Energy relative to the lowest polymorph listed for this composition: 24 meV per atom
- Energy of formation from the pure elements: 0.17 eV/atom
- Final energy: -1.04 eV per atom